[1]
Compound: Ho10Al3Pd
Source: OQMD
Functional: GGA-PBE
Structure: optimized geometry

Calculated values
final energy: -4.7698 eV/atom
total magnetic moment: 0.000 μB per atom

Cell lengths 9.5276, 9.5276, 9.5617 Å; angles 90.00, 90.00, 120.00 degrees
Space group P6_3/mmc (No. 194)
Unique sites:
Ho: 0.0000 0.0000 0.0000 [2 per cell]
Ho: 0.0860 0.5430 0.2500 [6 per cell]
Ho: 0.2050 0.4100 0.5562 [12 per cell]
Al: 0.1118 0.2236 0.2500 [6 per cell]
Pd: 0.3333 0.6667 0.7500 [2 per cell]

[2]
Compound: HoAlPd
Source: OQMD
Functional: GGA-PBE
Structure: optimized geometry

Calculated values
final energy: -5.3929 eV/atom
total magnetic moment: 0.003 μB per atom

Cell lengths 6.870, 4.423, 7.761 Å; angles 90.00, 90.00, 90.00 degrees
Space group Pnma (No. 62)
Unique sites:
Ho: 0.032 0.250 0.181 [4 per cell]
Al: 0.146 0.250 0.563 [4 per cell]
Pd: 0.229 0.750 0.383 [4 per cell]